(w)
Here is a geometry-optimized AcGaP structure from Alexandria. Energies are from PBE-GGA.

a = 4.442 Å, b = 4.442 Å, c = 8.574 Å
α = 90.00°, β = 90.00°, γ = 90.00°
Space group I4mm (No. 107)
Symmetry-distinct sites (fractional):
Ac1 0.000 0.000 0.000
Ga1 0.000 0.000 0.643
P1 0.000 0.000 0.375

Summary:
Size of the total moment, Bohr magnetons per cell: 0.0

---

(x)
Here is a geometry-optimized AcGaP structure from Alexandria. Energies are from PBE-GGA.

a = 5.0500 Å, b = 5.0500 Å, c = 23.8890 Å
α = 90.00°, β = 90.00°, γ = 120.00°
Space group R-3m (No. 166, hexagonal axes)
Symmetry-distinct sites (fractional):
Ac1 0.0000 0.0000 0.0947
Ga1 0.0000 0.0000 0.3231
P1 0.0000 0.0000 0.2199

Summary:
Size of the total moment, Bohr magnetons per cell: 0.0

---

(y)
Here is a geometry-optimized AcGaP structure from Alexandria. Energies are from PBE-GGA.

a = 4.4744 Å, b = 4.4744 Å, c = 4.2973 Å
α = 90.00°, β = 90.00°, γ = 120.00°
Space group P-6m2 (No. 187)
Symmetry-distinct sites (fractional):
Ac1 0.0000 0.0000 0.0000
Ga1 0.3333 0.6667 0.5000
P1 0.6667 0.3333 0.5000

Summary:
Size of the total moment, Bohr magnetons per cell: 0.0

---

Computed relative energies in units of eV/atom: (w) 0.251; (x) 0.000; (y) 0.092

---

(w)
Here is a geometry-optimized Ac3GaPb3 structure from Alexandria. Energies are from PBE-GGA.

a = 12.519 Å, b = 4.856 Å, c = 16.475 Å
α = 90.00°, β = 106.66°, γ = 90.00°
Space group C2/m (No. 12)
Symmetry-distinct sites (fractional):
Ac1 0.024 0.000 0.381
Ac2 0.100 0.000 0.922
Ac3 0.237 0.000 0.232
Ga1 0.242 0.500 0.370
Pb1 0.012 0.500 0.230
Pb2 0.126 0.500 0.078
Pb3 0.149 0.500 0.537

Summary:
Size of the total moment, Bohr magnetons per cell: 0.0

---

(x)
Here is a geometry-optimized Ac3GaPb3 structure from Alexandria. Energies are from PBE-GGA.

a = 9.7658 Å, b = 9.7658 Å, c = 6.8900 Å
α = 90.00°, β = 90.00°, γ = 120.00°
Space group P6_3/m (No. 176)
Symmetry-distinct sites (fractional):
Ac1 0.0686 0.6868 0.2500
Ga1 0.3333 0.6667 0.7500
Pb1 0.0678 0.7088 0.7500

Summary:
Size of the total moment, Bohr magnetons per cell: 0.0

---

Computed relative energies in units of eV/atom: (w) 0.000; (x) 0.185

---

(w)
Here is a geometry-optimized Ac3Ga2Pb3 structure from Alexandria. Energies are from PBE-GGA.

a = 4.777 Å, b = 12.404 Å, c = 17.146 Å
α = 90.00°, β = 90.00°, γ = 90.00°
Space group Cmcm (No. 63)
Symmetry-distinct sites (fractional):
Ac1 0.000 0.066 0.110
Ac2 0.000 0.338 0.250
Ga1 0.000 0.213 0.620
Pb1 0.000 0.363 0.033
Pb2 0.000 0.386 0.750

Summary:
Size of the total moment, Bohr magnetons per cell: 0.0

---

(x)
Here is a geometry-optimized Ac3Ga2Pb3 structure from Alexandria. Energies are from PBE-GGA.

a = 5.155 Å, b = 12.245 Å, c = 16.169 Å
α = 90.00°, β = 90.00°, γ = 90.00°
Space group Cmcm (No. 63)
Symmetry-distinct sites (fractional):
Ac1 0.000 0.074 0.250
Ac2 0.000 0.147 0.539
Ga1 0.000 0.334 0.164
Pb1 0.000 0.214 0.750
Pb2 0.000 0.443 0.593

Summary:
Size of the total moment, Bohr magnetons per cell: 0.0

---

Computed relative energies in units of eV/atom: (w) 0.000; (x) 0.034

---

(w)
Here is a geometry-optimized Ac2GaPb2 structure from Alexandria. Energies are from PBE-GGA.

a = 12.583 Å, b = 4.751 Å, c = 12.386 Å
α = 90.00°, β = 114.65°, γ = 90.00°
Space group C2/m (No. 12)
Symmetry-distinct sites (fractional):
Ac1 0.088 0.000 0.402
Ac2 0.195 0.500 0.156
Ga1 0.031 0.500 0.784
Pb1 0.080 0.000 0.932
Pb2 0.154 0.500 0.632

Summary:
Size of the total moment, Bohr magnetons per cell: 0.0

---

(x)
Here is a geometry-optimized Ac2GaPb2 structure from Alexandria. Energies are from PBE-GGA.

a = 4.815 Å, b = 19.133 Å, c = 7.596 Å
α = 90.00°, β = 90.00°, γ = 90.00°
Space group Cmc2_1 (No. 36)
Symmetry-distinct sites (fractional):
Ac1 0.000 0.016 0.000
Ac2 0.000 0.211 0.318
Ga1 0.000 0.410 0.164
Pb1 0.000 0.167 0.767
Pb2 0.000 0.412 0.775

Summary:
Size of the total moment, Bohr magnetons per cell: 0.0

---

Computed relative energies in units of eV/atom: (w) 0.000; (x) 0.100

---

(w)
Here is a geometry-optimized Ac3GaPb2 structure from Alexandria. Energies are from PBE-GGA.

a = 17.635 Å, b = 6.904 Å, c = 6.989 Å
α = 90.00°, β = 103.10°, γ = 90.00°
Space group C2/c (No. 15)
Symmetry-distinct sites (fractional):
Ac1 0.000 0.166 0.250
Ac2 0.170 0.389 0.617
Ga1 0.000 0.343 0.750
Pb1 0.157 0.106 0.037

Summary:
Size of the total moment, Bohr magnetons per cell: 0.0

---

(x)
Here is a geometry-optimized Ac3GaPb2 structure from Alexandria. Energies are from PBE-GGA.

a = 13.536 Å, b = 4.791 Å, c = 13.237 Å
α = 90.00°, β = 90.00°, γ = 90.00°
Space group Pnma (No. 62)
Symmetry-distinct sites (fractional):
Ac1 0.054 0.250 0.121
Ac2 0.121 0.750 0.552
Ac3 0.223 0.250 0.794
Ga1 0.128 0.250 0.365
Pb1 0.006 0.750 0.308
Pb2 0.190 0.750 0.001

Summary:
Size of the total moment, Bohr magnetons per cell: 0.0

---

Computed relative energies in units of eV/atom: (w) 0.099; (x) 0.000

---

(w)
Here is a geometry-optimized Ac4GaPb structure from Alexandria. Energies are from PBE-GGA.

a = 5.537 Å, b = 5.537 Å, c = 7.917 Å
α = 90.00°, β = 90.00°, γ = 90.00°
Space group P4/mmm (No. 123)
Symmetry-distinct sites (fractional):
Ac1 0.000 0.500 0.231
Ga1 0.000 0.000 0.000
Pb1 0.500 0.500 0.500

Summary:
Size of the total moment, Bohr magnetons per cell: 0.0

---

(x)
Here is a geometry-optimized Ac4GaPb structure from Alexandria. Energies are from PBE-GGA.

a = 7.925 Å, b = 7.925 Å, c = 7.399 Å
α = 90.00°, β = 90.00°, γ = 90.00°
Space group P4/mcc (No. 124)
Symmetry-distinct sites (fractional):
Ac1 0.164 0.316 0.000
Ga1 0.000 0.000 0.250
Pb1 0.500 0.500 0.250

Summary:
Size of the total moment, Bohr magnetons per cell: 2.0

---

Computed relative energies in units of eV/atom: (w) 0.073; (x) 0.000

---

(w)
Here is a geometry-optimized SrAcGaPb structure from Alexandria. Energies are from PBE-GGA.

a = 8.083 Å, b = 8.083 Å, c = 8.083 Å
α = 90.00°, β = 90.00°, γ = 90.00°
Space group F-43m (No. 216)
Symmetry-distinct sites (fractional):
Sr1 0.000 0.000 0.000
Ac1 0.000 0.000 0.500
Ga1 0.250 0.250 0.250
Pb1 0.250 0.250 0.750

Summary:
Size of the total moment, Bohr magnetons per cell: 0.0

---

(x)
Here is a geometry-optimized SrAcGaPb structure from Alexandria. Energies are from PBE-GGA.

a = 4.534 Å, b = 4.951 Å, c = 12.188 Å
α = 90.00°, β = 90.00°, γ = 90.00°
Space group Amm2 (No. 38)
Symmetry-distinct sites (fractional):
Sr1 0.000 0.000 0.000
Ac1 0.500 0.000 0.275
Ga1 0.000 0.000 0.720
Pb1 0.500 0.000 0.566

Summary:
Size of the total moment, Bohr magnetons per cell: 0.0

---

Computed relative energies in units of eV/atom: (w) 0.085; (x) 0.000

---

(w)
Here is a geometry-optimized AcGaPd structure from Alexandria. Energies are from PBE-GGA.

a = 4.1190 Å, b = 4.1190 Å, c = 16.2493 Å
α = 90.00°, β = 90.00°, γ = 120.00°
Space group R3m (No. 160, hexagonal axes)
Symmetry-distinct sites (fractional):
Ac1 0.0000 0.0000 0.0000
Ga1 0.0000 0.0000 0.1984
Pd1 0.0000 0.0000 0.4758

Summary:
Size of the total moment, Bohr magnetons per cell: 0.0

---

(x)
Here is a geometry-optimized AcGaPd structure from Alexandria. Energies are from PBE-GGA.

a = 6.907 Å, b = 6.907 Å, c = 6.907 Å
α = 90.00°, β = 90.00°, γ = 90.00°
Space group F-43m (No. 216)
Symmetry-distinct sites (fractional):
Ac1 0.000 0.000 0.000
Ga1 0.000 0.000 0.500
Pd1 0.250 0.250 0.250

Summary:
Size of the total moment, Bohr magnetons per cell: 0.0

---

(y)
Here is a geometry-optimized AcGaPd structure from Alexandria. Energies are from PBE-GGA.

a = 4.5556 Å, b = 4.5556 Å, c = 4.1866 Å
α = 90.00°, β = 90.00°, γ = 120.00°
Space group P-6m2 (No. 187)
Symmetry-distinct sites (fractional):
Ac1 0.0000 0.0000 0.0000
Ga1 0.6667 0.3333 0.5000
Pd1 0.3333 0.6667 0.5000

Summary:
Size of the total moment, Bohr magnetons per cell: 0.0

---

(z)
Here is a geometry-optimized AcGaPd structure from Alexandria. Energies are from PBE-GGA.

a = 11.079 Å, b = 4.475 Å, c = 7.462 Å
α = 90.00°, β = 128.07°, γ = 90.00°
Space group C2/m (No. 12)
Symmetry-distinct sites (fractional):
Ac1 0.054 0.000 0.302
Ga1 0.188 0.500 0.097
Pd1 0.163 0.500 0.707

Summary:
Size of the total moment, Bohr magnetons per cell: 0.0

---

Computed relative energies in units of eV/atom: (w) 0.264; (x) 0.231; (y) 0.000; (z) 0.042